VASP calculation (PBE+U) on an optimized crystal structure of TiMoO5.

Cell lengths 5.786, 5.786, 7.339 Å; angles 106.79, 106.79, 96.08 degrees
Fractional positions:
Ti (0.000, 0.000, 0.000)
Ti (0.000, 0.000, 0.500)
Mo (0.359, 0.641, 0.750)
Mo (0.641, 0.359, 0.250)
O (0.038, 0.962, 0.250)
O (0.213, 0.748, 0.933)
O (0.252, 0.787, 0.567)
O (0.268, 0.311, 0.631)
O (0.311, 0.268, 0.131)
O (0.689, 0.732, 0.869)
O (0.732, 0.689, 0.369)
O (0.748, 0.213, 0.433)
O (0.787, 0.252, 0.067)
O (0.962, 0.038, 0.750)

Computed properties:
The total magnetic moment comes out at 0.0 μB/f.u. As for the space group: C2/c, No. 15. The calculation puts the density of states at the Fermi level at 0.00 states/eV per atom. Its raw total energy is -0.2868 Ha/atom.